# K2BeRh

A relaxed structure of K2BeRh (PBE, the Alexandria database).

Cell and atoms, written as POSCAR:
```
K2BeRh
1.0
3.252 0.000 0.000
0.000 3.252 0.000
0.000 0.000 9.837
K Be Rh
2 1 1
Direct
0.000 0.000 0.000 K
0.500 0.500 0.429 K
0.500 0.500 0.726 Be
0.000 0.000 0.698 Rh
```

E in eV/atom: -3.155
Symmetry: P4mm
Energy of formation from the pure elements in meV per atom: 163
DOS at the Fermi energy in states/eV/f.u.: 1.339